Compound: CsKIn
Source: the Alexandria database
Functional: GGA-PBE
Structure: optimized geometry

a = 4.777 Å, b = 6.902 Å, c = 10.818 Å
α = 108.55°, β = 90.00°, γ = 90.00°
Fractional positions:
1 Cs 0.812 0.493 0.412
2 Cs 0.312 0.665 0.761
3 K 0.812 0.891 0.210
4 K 0.312 0.266 0.963
5 In 0.812 0.119 0.667
6 In 0.312 0.039 0.506

Computed properties:
**Total DFT energy (no corrections)**: -1.587 eV/atom
**Energy above the lowest structure with this stoichiometry**: 33 meV/atom
**Symmetry**: P2_1/m
**Size of the total moment**: 0.0 μB per cell
**Formation energy from the elements**: -0.023 eV per atom



Compound: CsKIn
Source: the Alexandria database
Functional: GGA-PBE
Structure: optimized geometry

a = 5.232 Å, b = 7.247 Å, c = 10.018 Å
α = 80.60°, β = 90.01°, γ = 90.00°
Fractional positions:
1 Cs 0.046 0.093 0.928
2 Cs 0.546 0.507 0.252
3 K 0.045 0.945 0.447
4 K 0.545 0.655 0.733
5 In 0.546 0.201 0.617
6 In 0.046 0.399 0.563

Computed properties:
**Total DFT energy (no corrections)**: -1.619 eV/atom
**Energy above the lowest structure with this stoichiometry**: 0 meV/atom
**Symmetry**: P2_1/m
**Size of the total moment**: 0.0 μB per cell
**Formation energy from the elements**: -0.056 eV per atom



Compound: CsK3In8
Source: the Alexandria database
Functional: GGA-PBE
Structure: optimized geometry

a = 6.653 Å, b = 6.653 Å, c = 10.369 Å
α = 90.00°, β = 90.00°, γ = 120.00°
Fractional positions:
1 Cs 0.000 0.000 0.560
2 K 0.667 0.333 0.437
3 K 0.667 0.333 0.065
4 K 0.000 0.000 0.938
5 In 0.333 0.667 0.504
6 In 0.333 0.667 0.996
7 In 0.503 0.005 0.755
8 In 0.503 0.497 0.755
9 In 0.995 0.497 0.755
10 In 0.168 0.337 0.245
11 In 0.168 0.832 0.245
12 In 0.663 0.832 0.245

Computed properties:
**Total DFT energy (no corrections)**: -2.289 eV/atom
**Symmetry**: P3m1
**Size of the total moment**: 0.0 μB per cell
**Formation energy from the elements**: -0.118 eV per atom



Compound: CsK2In
Source: the Alexandria database
Functional: GGA-PBE
Structure: optimized geometry

a = 4.685 Å, b = 4.685 Å, c = 10.867 Å
α = 90.00°, β = 90.00°, γ = 90.00°
Fractional positions:
1 Cs 0.500 0.500 0.500
2 K 0.000 0.000 0.826
3 K 0.000 0.000 0.174
4 In 0.500 0.500 0.000

Computed properties:
**Total DFT energy (no corrections)**: -1.392 eV/atom
**Energy above the lowest structure with this stoichiometry**: 0 meV/atom
**Symmetry**: P4/mmm
**Size of the total moment**: 0.0 μB per cell
**Formation energy from the elements**: 0.055 eV per atom



Compound: CsK2LiIn
Source: the Alexandria database
Functional: GGA-PBE
Structure: optimized geometry

a = 6.729 Å, b = 6.729 Å, c = 5.585 Å
α = 90.00°, β = 90.00°, γ = 90.00°
Fractional positions:
1 Cs 0.500 0.500 0.500
2 K 0.000 0.500 0.000
3 K 0.500 0.000 0.000
4 Li 0.000 0.000 0.000
5 In 0.000 0.000 0.500

Computed properties:
**Total DFT energy (no corrections)**: -1.465 eV/atom
**Energy above the lowest structure with this stoichiometry**: 10 meV/atom
**Symmetry**: P4/mmm
**Size of the total moment**: 0.0 μB per cell
**Formation energy from the elements**: 0.075 eV per atom



Compound: CsKLi2In
Source: the Alexandria database
Functional: GGA-PBE
Structure: optimized geometry

a = 5.788 Å, b = 5.788 Å, c = 6.583 Å
α = 90.00°, β = 90.00°, γ = 90.00°
Fractional positions:
1 Cs 0.500 0.500 0.500
2 K 0.000 0.000 0.500
3 Li 0.000 0.500 0.000
4 Li 0.500 0.000 0.000
5 In 0.000 0.000 0.000

Computed properties:
**Total DFT energy (no corrections)**: -1.634 eV/atom
**Symmetry**: P4/mmm
**Size of the total moment**: 0.0 μB per cell
**Formation energy from the elements**: 0.069 eV per atom



Compound: CsK2LiIn
Source: the Alexandria database
Functional: GGA-PBE
Structure: optimized geometry

a = 6.954 Å, b = 6.954 Å, c = 5.767 Å
α = 90.00°, β = 90.00°, γ = 90.00°
Fractional positions:
1 Cs 0.500 0.500 0.500
2 K 0.000 0.500 0.000
3 K 0.500 0.000 0.000
4 Li 0.000 0.000 0.500
5 In 0.000 0.000 0.000

Computed properties:
**Total DFT energy (no corrections)**: -1.475 eV/atom
**Energy above the lowest structure with this stoichiometry**: 0 meV/atom
**Symmetry**: P4/mmm
**Size of the total moment**: 0.0 μB per cell
**Formation energy from the elements**: 0.065 eV per atom



Compound: Cs2KMgIn
Source: the Alexandria database
Functional: GGA-PBE
Structure: optimized geometry

a = 7.733 Å, b = 7.733 Å, c = 5.574 Å
α = 90.00°, β = 90.00°, γ = 90.00°
Fractional positions:
1 Cs 0.000 0.500 0.000
2 Cs 0.500 0.000 0.000
3 K 0.500 0.500 0.500
4 Mg 0.000 0.000 0.500
5 In 0.000 0.000 0.000

Computed properties:
**Total DFT energy (no corrections)**: -1.280 eV/atom
**Symmetry**: P4/mmm
**Size of the total moment**: 0.0 μB per cell
**Formation energy from the elements**: 0.148 eV per atom